1.
## YMgBr2 (PBE-GGA)

Data for a relaxed structure of YMgBr2.

Cell: 3.701 3.701 10.724 Å, 90.00 90.00 118.55°
Element x y z (fractional)
Br: 0.000 0.000 0.551
Br: 0.000 0.000 0.949
Y: 0.500 0.500 0.750
Mg: 0.500 0.500 0.250

Summary:
**Energy above the lowest structure with this stoichiometry**: 159 meV per atom
**Space-group type**: Cmmm (65)
**Magnetization**: 0.00 Bohr magnetons per cell
**Electronic total energy**: -14.77 eV per formula unit

---

2.
## Y2MgBr (PBE-GGA)

Data for a relaxed structure of Y2MgBr.

Cell: 5.497 5.497 5.497 Å, 60.00 60.00 60.00°
Element x y z (fractional)
Y: 0.000 0.000 0.000
Y: 0.250 0.250 0.250
Br: 0.500 0.500 0.500
Mg: 0.750 0.750 0.750

Summary:
**Energy above the lowest structure with this stoichiometry**: 718 meV per atom
**Space-group type**: F-43m (216)
**Magnetization**: 0.01 Bohr magnetons per cell
**Electronic total energy**: -15.39 eV per formula unit

---

3.
## YMgBr4 (PBE-GGA)

Data for a relaxed structure of YMgBr4.

Cell: 6.305 6.305 6.305 Å, 60.00 60.00 60.00°
Each line ends with the local moment (μB).
Element x y z (fractional)
Y: 0.000 0.000 0.000  -0.01
Br: 0.375 0.375 0.375  0.18
Br: 0.876 0.375 0.375  0.18
Br: 0.375 0.375 0.876  0.18
Br: 0.375 0.876 0.375  0.18
Mg: 0.750 0.750 0.750  0.00

Summary:
**Energy above the lowest structure with this stoichiometry**: 1498 meV per atom
**Space-group type**: F-43m (216)
**Magnetization**: 0.85 Bohr magnetons per cell
**Electronic total energy**: -14.79 eV per formula unit

---

4.
## YMgBr2 (PBE-GGA)

Data for a relaxed structure of YMgBr2.

Cell: 5.400 5.400 5.400 Å, 60.00 60.00 60.00°
Each line ends with the local moment (μB).
Element x y z (fractional)
Y: 0.750 0.750 0.750  0.23
Br: 0.000 0.000 0.000  0.00
Br: 0.250 0.250 0.250  0.00
Mg: 0.500 0.500 0.500  0.01

Summary:
**Energy above the lowest structure with this stoichiometry**: 677 meV per atom
**Space-group type**: F-43m (216)
**Magnetization**: 0.51 Bohr magnetons per cell
**Electronic total energy**: -12.70 eV per formula unit

---

5.
## YMg4Br (PBE-GGA)

Data for a relaxed structure of YMg4Br.

Cell: 6.101 6.101 6.101 Å, 60.00 60.00 60.00°
Element x y z (fractional)
Mg: 0.377 0.869 0.377
Mg: 0.377 0.377 0.869
Mg: 0.869 0.377 0.377
Mg: 0.377 0.377 0.377
Br: 0.000 0.000 0.000
Y: 0.750 0.750 0.750

Summary:
**Space-group type**: F-43m (216)
**Magnetization**: 0.00 Bohr magnetons per cell
**Electronic total energy**: -14.53 eV per formula unit

---

6.
## YMgBr (PBE-GGA)

Data for a relaxed structure of YMgBr.

Cell: 8.015 8.015 8.015 Å, 154.64 154.64 36.18°
Each line ends with the local moment (μB).
Element x y z (fractional)
Y: 0.656 0.656 0.000  0.37
Br: 0.040 0.040 0.000  0.01
Mg: 0.303 0.303 0.000  0.01

Summary:
**Space-group type**: I4mm (107)
**Magnetization**: 0.83 Bohr magnetons per cell
**Electronic total energy**: -11.43 eV per formula unit

---

| no. | E_form (uncorrected) (eV/atom) |
| --- | --- |
| 1 | -0.842 |
| 2 | 0.201 |
| 3 | -0.006 |
| 4 | -0.323 |
| 5 | -0.003 |
| 6 | -0.565 |